DFT (GGA-PBE) results for a relaxed Ce3HoSb4 crystal.

The structure in POSCAR format:
```
Ce3HoSb4
1.0
4.462 -6.315 0.000
4.462 6.315 0.000
0.000 0.000 4.472
Ce Ho Sb
3 1 4
Direct
0.000 0.000 0.000
0.000 0.500 0.500
0.500 0.000 0.500
0.500 0.500 0.000
0.253 0.747 0.000
0.255 0.255 0.500
0.745 0.745 0.500
0.747 0.253 0.000
```

**ΔE_f (raw)**: -1056 meV per atom
**VASP energy**: -5.91 eV per atom
**Energy above the most stable polymorph in this dataset**: 0.000 eV per atom